1.
{"formula": "Mn2HgRu2", "functional": "PBE-GGA", "state": "optimized geometry", "final_energy_ev_per_cell": -71.004, "de_polymorph_mev_per_atom": 3.0, "space_group": "No. 127", "lattice": [[7.2537, 0.0000, 0.0000], [0.0000, 7.2537, 0.0000], [0.0000, 0.0000, 2.7135]], "species": ["Mn", "Hg", "Mn", "Ru", "Ru", "Ru", "Ru", "Mn", "Hg", "Mn"], "fractional_positions": [[0.3824, 0.8824, 0.0000], [0.0000, 0.0000, 0.0000], [0.1176, 0.3824, 0.0000], [0.1649, 0.6649, 0.5000], [0.8351, 0.3351, 0.5000], [0.6649, 0.8351, 0.5000], [0.3351, 0.1649, 0.5000], [0.8824, 0.6176, 0.0000], [0.5000, 0.5000, 0.0000], [0.6176, 0.1176, 0.0000]]}



2.
{"formula": "MnHg2Ru", "functional": "PBE-GGA", "state": "optimized geometry", "final_energy_ev_per_cell": -17.199, "de_polymorph_mev_per_atom": 188.7, "space_group": "No. 225", "lattice": [[0.0000, 3.2752, 3.2752], [3.2752, 0.0000, 3.2752], [3.2752, 3.2752, 0.0000]], "species": ["Ru", "Hg", "Hg", "Mn"], "fractional_positions": [[0.5000, 0.5000, 0.5000], [0.7500, 0.7500, 0.7500], [0.2500, 0.2500, 0.2500], [0.0000, 0.0000, 0.0000]]}



3.
{"formula": "MnHg2Ru", "functional": "PBE-GGA", "state": "optimized geometry", "final_energy_ev_per_cell": -17.042, "de_polymorph_mev_per_atom": 227.9, "space_group": "No. 123", "lattice": [[-1.1059, -0.1865, 2.8065], [-0.8099, -2.8666, -0.5107], [6.8883, -2.4014, 2.5547]], "species": ["Hg", "Mn", "Hg", "Ru"], "fractional_positions": [[0.0000, 0.0000, 0.5002], [0.5000, 0.5000, 0.2500], [0.0000, 0.0000, 0.9998], [0.5000, 0.5000, 0.7500]]}



4.
{"formula": "MnHg2Ru", "functional": "PBE-GGA", "state": "optimized geometry", "final_energy_ev_per_cell": -17.561, "de_polymorph_mev_per_atom": 98.0, "space_group": "No. 123", "lattice": [[-1.4710, -0.8123, 3.7735], [-2.5928, -2.7852, -1.6103], [2.8456, -2.9261, 0.4793]], "species": ["Ru", "Hg", "Mn", "Hg"], "fractional_positions": [[0.0000, 0.5000, 0.5000], [0.0000, 0.0000, 0.0000], [0.5000, 0.0000, 0.5000], [0.5000, 0.5000, 0.0000]]}



5.
{"formula": "Mn4HgRu", "functional": "PBE-GGA", "state": "optimized geometry", "final_energy_ev_per_cell": -44.103, "space_group": "No. 216", "lattice": [[-4.5930, -0.9157, 1.1131], [-2.5984, 3.2773, 2.3833], [-3.5390, 2.3646, -2.2487]], "species": ["Hg", "Mn", "Mn", "Ru", "Mn", "Mn"], "fractional_positions": [[0.0000, 0.0000, 0.0000], [0.3747, 0.3747, 0.8759], [0.3747, 0.8759, 0.3747], [0.7500, 0.7500, 0.7500], [0.3747, 0.3747, 0.3747], [0.8759, 0.3747, 0.3747]]}



6.
{"formula": "MnHg2Ru", "functional": "PBE-GGA", "state": "optimized geometry", "final_energy_ev_per_cell": -16.941, "de_polymorph_mev_per_atom": 253.2, "space_group": "No. 166", "lattice": [[-5.2104, -7.7464, 0.4651], [-2.5163, -8.9427, 1.0329], [-4.1201, -7.7301, 3.2621]], "species": ["Hg", "Mn", "Hg", "Ru"], "fractional_positions": [[0.9998, 0.9998, 0.9998], [0.2500, 0.2500, 0.2500], [0.5002, 0.5002, 0.5002], [0.7500, 0.7500, 0.7500]]}



ΔH_f (0 K) per entry: 0.338, 0.463, 0.502, 0.372, 0.359, 0.527 eV/atom